Cs2BaAg2H6 after structural relaxation. Source: Alexandria, functional PBE.

Unit cell a=6.4436 b=6.4436 c=7.8432 alpha=113.44 beta=113.44 gamma=59.68
Atoms (fractional coordinates):
Cs  0.2093  0.2093  0.1299
Cs  0.7907  0.7907  0.8701
Ba  0.0000  0.0000  0.5000
Ag  0.4212  0.4212  0.7576
Ag  0.5788  0.5788  0.2424
H  0.2534  0.7358  0.2369
H  0.2572  0.2572  0.7469
H  0.2642  0.7466  0.7631
H  0.7358  0.2534  0.2369
H  0.7428  0.7428  0.2531
H  0.7466  0.2642  0.7631

## Properties
Final energy ... -31.3 eV/cell
Total magnetic moment ... 0.00 μB/f.u.
Space-group type ... C2/m (12)

***

Cs2BaAg2I7 after structural relaxation. Source: Alexandria, functional PBE.

Unit cell a=15.7971 b=15.7971 c=15.7971 alpha=158.61 beta=158.61 gamma=30.44
Atoms (fractional coordinates):
Cs  0.1782  0.1782  0.0000
Cs  0.8218  0.8218  0.0000
Ba  0.0000  0.0000  0.0000
Ag  0.4014  0.4014  0.0000
Ag  0.5986  0.5986  0.0000
I  0.0823  0.5823  0.5000
I  0.3064  0.3064  0.0000
I  0.4177  0.9177  0.5000
I  0.5000  0.5000  0.0000
I  0.5823  0.0823  0.5000
I  0.6936  0.6936  0.0000
I  0.9177  0.4177  0.5000

## Properties
Energy relative to the elements, uncorrected ... -998 meV per atom
Total magnetic moment ... 0.00 μB/f.u.
Space-group type ... I4/mmm (139)